Record 1
Below is a relaxed CaZn2Pd crystal, with properties calculated at the PBE-GGA level.

a b c (Å): 4.3720 4.3720 5.5785
angles (deg): 66.93 66.93 60.00
With the nearest neighbours (Å) after each atom.
Sites, in units of the cell vectors:
Zn (0.2057, 0.2057, 0.3829)  3 Pd 2.59, 3 Zn 2.78
Zn (0.7943, 0.7943, 0.6171)  3 Pd 2.59, 3 Zn 2.78
Ca (0.0000, 0.0000, 0.0000)  8 Zn 3.07-3.16
Pd (0.5000, 0.5000, 0.5000)  6 Zn 2.59

Calculated values
E	-2.884	eV per atom
ΔE_f	-0.45	eV/atom
total moment	0.00	μB per formula unit
calculated density	5.6	g cm⁻³

---

Record 2
Below is a relaxed LiSb2W crystal, with properties calculated at the PBE-GGA level.

a b c (Å): 3.0013 3.0013 9.7773
angles (deg): 90.00 90.00 90.00
With the nearest neighbours (Å) after each atom.
Sites, in units of the cell vectors:
Sb (0.0000, 0.0000, 0.9335)  4 Li 2.92, 4 Sb 3.00
Sb (0.5000, 0.5000, 0.3136)  4 W 2.96, 4 Sb 3.00
Li (0.5000, 0.5000, 0.7284)  4 W 2.91, 4 Sb 2.92, 4 Li 3.00
W (0.0000, 0.0000, 0.5244)  4 Li 2.91, 4 Sb 2.96, 4 W 3.00

Calculated values
E	-5.311	eV per atom
energy relative to the elements, uncorrected	0.467	eV per atom
total moment	0.00	μB per formula unit
calculated density	8.2	g cm⁻³

---

Record 3
Below is a relaxed Tb4SnPSe2 crystal, with properties calculated at the PBE-GGA level.

a b c (Å): 4.1597 7.2277 7.2502
angles (deg): 70.64 90.00 90.00
With the nearest neighbours (Å) after each atom.
Sites, in units of the cell vectors:
P (0.0000, 0.5000, 0.5000)  6 Tb 2.87-2.88
Sn (0.5000, 0.5000, 0.0000)  6 Tb 2.97-2.98
Se (0.5000, 0.0000, 0.5000)  6 Tb 2.93-2.94
Se (0.0000, 0.0000, 0.0000)  6 Tb 3.03
Tb (0.5000, 0.7372, 0.2649)  2 P 2.87, 3 Se 2.94-3.03, 1 Sn 2.97
Tb (0.5000, 0.2628, 0.7351)  2 P 2.87, 3 Se 2.94-3.03, 1 Sn 2.97
Tb (0.0000, 0.2522, 0.2609)  1 P 2.88, 3 Se 2.93-3.03, 2 Sn 2.98
Tb (0.0000, 0.7478, 0.7391)  1 P 2.88, 3 Se 2.93-3.03, 2 Sn 2.98

Calculated values
E	-5.850	eV per atom
energy relative to the elements, uncorrected	-1.487	eV per atom
total moment	0.00	μB per formula unit
calculated density	7.6	g cm⁻³